1.
First-principles (PBE) data for crystalline Sn2BCl at its relaxed geometry, as listed in the Alexandria database.

a b c (Å): 6.8298 6.8298 8.4702
angles (deg): 90.00 90.00 90.00
Closest atoms and distances in Å follow each position.
Space group I-42d (No. 122)
Symmetry-distinct sites (fractional):
Sn 0.1585 0.2500 0.1250 [8 per cell]  2 B 2.28
B 0.0000 0.0000 0.0000 [4 per cell]  4 Sn 2.28
Cl 0.0000 0.0000 0.5000 [4 per cell]  4 Sn 3.08

* formation energy without anion corrections: 127 kJ/mol of formula units

2.
First-principles (PBE) data for crystalline SnBTeCl2 at its relaxed geometry, as listed in the Alexandria database.

a b c (Å): 5.7484 5.7484 4.3148
angles (deg): 90.00 90.00 90.00
Closest atoms and distances in Å follow each position.
Space group P4/mmm (No. 123)
Symmetry-distinct sites (fractional):
Sn 0.0000 0.0000 0.0000 [1 per cell]  8 Cl 3.59
B 0.5000 0.5000 0.0000 [1 per cell]  2 Te 2.16
Te 0.5000 0.5000 0.5000 [1 per cell]  2 B 2.16
Cl 0.0000 0.5000 0.5000 [2 per cell]  2 Te 2.87

* formation energy without anion corrections: 348 kJ/mol of formula units

3.
First-principles (PBE) data for crystalline TlSnB2Cl8 at its relaxed geometry, as listed in the Alexandria database.

a b c (Å): 6.2566 6.2566 30.0930
angles (deg): 90.00 90.00 120.00
Closest atoms and distances in Å follow each position.
Space group R-3 (No. 148, hexagonal axes)
Symmetry-distinct sites (fractional):
Tl 0.0000 0.0000 0.0000 [3 per cell]  12 Cl 3.57-3.63
Sn 0.0000 0.0000 0.5000 [3 per cell]  6 Cl 3.24
B 0.0000 0.0000 0.2584 [6 per cell]  4 Cl 1.85-1.87
Cl 0.0000 0.0000 0.3200 [6 per cell]  1 B 1.85
Cl 0.0349 0.4044 0.4289 [18 per cell]  1 B 1.87

* formation energy without anion corrections: -907 kJ/mol of formula units

no.,E (eV per atom)
1,-3.803
2,-2.782
3,-3.658